Record 1
First-principles (PBE) data for crystalline Sc4OsRh2 at its relaxed geometry, as listed in Alexandria.

Output
Energy relative to the elements: -655 meV per atom
E_tot: -7.978 eV per atom

Cell: 7.7603 7.7603 7.7603 Å, 34.28 34.28 34.28°
Last column: nearest neighbours and their distance in Å.
Fractional positions:
Sc  0.1239  0.1239  0.1239  4 Rh 2.74-2.78, 3 Os 2.80
Sc  0.3746  0.3746  0.3746  1 Os 2.75, 4 Rh 2.75-2.80
Sc  0.6254  0.6254  0.6254  1 Os 2.75, 4 Rh 2.75-2.80
Sc  0.8761  0.8761  0.8761  4 Rh 2.74-2.78, 3 Os 2.80
Os  0.5000  0.5000  0.5000  8 Sc 2.75-2.80
Rh  0.2492  0.2492  0.2492  8 Sc 2.74-2.80
Rh  0.7508  0.7508  0.7508  8 Sc 2.74-2.80


Record 2
First-principles (PBE) data for crystalline Li2Cu2SbO6 at its relaxed geometry, as listed in Alexandria.

Output
Formation energy (no corrections): -1168 meV per atom
E_tot: -5.340 eV per atom

Cell: 5.1948 5.1948 5.0317 Å, 90.00 90.00 120.00°
Last column: nearest neighbours and their distance in Å.
Fractional positions:
Li  0.3333  0.6667  0.0000  6 O 2.25, 2 Cu 2.52
Li  0.6667  0.3333  0.0000  6 O 2.25, 2 Cu 2.52
Cu  0.3333  0.6667  0.5000  6 O 2.06
Cu  0.6667  0.3333  0.5000  6 O 2.06
Sb  0.0000  0.0000  0.5000  6 O 2.03
O  0.0000  0.3292  0.2818  1 Sb 2.03, 2 Cu 2.06, 2 Li 2.25
O  0.0000  0.6708  0.7182  1 Sb 2.03, 2 Cu 2.06, 2 Li 2.25
O  0.3292  0.0000  0.2818  1 Sb 2.03, 2 Cu 2.06, 2 Li 2.25
O  0.3292  0.3292  0.7182  1 Sb 2.03, 2 Cu 2.06, 2 Li 2.25
O  0.6708  0.0000  0.7182  1 Sb 2.03, 2 Cu 2.06, 2 Li 2.25
O  0.6708  0.6708  0.2818  1 Sb 2.03, 2 Cu 2.06, 2 Li 2.25


Record 3
First-principles (PBE) data for crystalline TbTl2Ni at its relaxed geometry, as listed in Alexandria.

Output
Energy relative to the elements: 321 meV per atom
E_tot: -3.465 eV per atom

Cell: 3.5290 3.5290 29.5425 Å, 90.00 90.00 120.00°
Last column: nearest neighbours and their distance in Å.
Fractional positions:
Tb  0.0000  0.0000  0.0000  2 Tl 3.14
Tb  0.3333  0.6667  0.6667  2 Tl 3.14
Tb  0.6667  0.3333  0.3333  2 Tl 3.14
Tl  0.0000  0.0000  0.1064  3 Ni 2.71
Tl  0.0000  0.0000  0.8936  3 Ni 2.71
Tl  0.3333  0.6667  0.5603  3 Ni 2.71
Tl  0.3333  0.6667  0.7731  3 Ni 2.71
Tl  0.6667  0.3333  0.2269  3 Ni 2.71
Tl  0.6667  0.3333  0.4397  3 Ni 2.71
Ni  0.0000  0.0000  0.5000  6 Tl 2.71
Ni  0.3333  0.6667  0.1667  6 Tl 2.71
Ni  0.6667  0.3333  0.8333  6 Tl 2.71


Record 4
First-principles (PBE) data for crystalline Ce2PmHg2 at its relaxed geometry, as listed in Alexandria.

Output
Energy relative to the elements: -166 meV per atom
E_tot: -3.610 eV per atom

Cell: 5.9292 6.2296 8.0680 Å, 90.00 109.00 90.00°
Last column: nearest neighbours and their distance in Å.
Fractional positions:
Ce  0.0000  0.2180  0.0000  3 Ce 2.72-2.99
Ce  0.0000  0.7820  0.0000  3 Ce 2.72-2.99
Ce  0.5000  0.2820  0.0000  3 Ce 2.72-2.99
Ce  0.5000  0.7180  0.0000  3 Ce 2.72-2.99
Pm  0.0000  0.0000  0.5000  8 Hg 3.29-3.43
Pm  0.5000  0.5000  0.5000  8 Hg 3.29-3.43
Hg  0.0847  0.5000  0.6884  1 Hg 2.87, 2 Ce 3.19
Hg  0.4153  0.0000  0.3116  1 Hg 2.87, 2 Ce 3.19
Hg  0.5847  0.0000  0.6884  1 Hg 2.87, 2 Ce 3.19
Hg  0.9153  0.5000  0.3116  1 Hg 2.87, 2 Ce 3.19


Record 5
First-principles (PBE) data for crystalline Tb15Nd2Er2 at its relaxed geometry, as listed in Alexandria.

Output
Energy relative to the elements: 272 meV per atom
E_tot: -4.366 eV per atom

Cell: 8.7435 8.7435 8.7435 Å, 79.98 79.98 79.98°
Last column: nearest neighbours and their distance in Å.
Fractional positions:
Tb  0.0000  0.0000  0.5000  8 Tb 3.35-3.39, 2 Er 3.48
Tb  0.0000  0.2961  0.7039  6 Tb 3.33-3.39
Tb  0.0000  0.5000  0.0000  8 Tb 3.35-3.39, 2 Er 3.48
Tb  0.0000  0.7039  0.2961  6 Tb 3.33-3.39
Tb  0.1491  0.6309  0.6309  6 Tb 3.30-3.35
Tb  0.2961  0.0000  0.7039  6 Tb 3.33-3.39
Tb  0.2961  0.7039  0.0000  6 Tb 3.33-3.39
Tb  0.3691  0.3691  0.8509  6 Tb 3.30-3.35
Tb  0.3691  0.8509  0.3691  6 Tb 3.30-3.35
Tb  0.5000  0.0000  0.0000  8 Tb 3.35-3.39, 2 Er 3.48
Tb  0.6309  0.1491  0.6309  6 Tb 3.30-3.35
Tb  0.6309  0.6309  0.1491  6 Tb 3.30-3.35
Tb  0.7039  0.0000  0.2961  6 Tb 3.33-3.39
Tb  0.7039  0.2961  0.0000  6 Tb 3.33-3.39
Tb  0.8509  0.3691  0.3691  6 Tb 3.30-3.35
Nd  0.3255  0.3255  0.3255  15 Tb 3.97-4.28, 1 Er 4.04
Nd  0.6745  0.6745  0.6745  15 Tb 3.97-4.28, 1 Er 4.04
Er  0.0957  0.0957  0.0957  1 Er 3.37, 9 Tb 3.48-3.73
Er  0.9043  0.9043  0.9043  1 Er 3.37, 9 Tb 3.48-3.73


Record 6
First-principles (PBE) data for crystalline Mo2Br at its relaxed geometry, as listed in Alexandria.

Output
Distance to the lowest polymorph of the same formula: 121.6 kJ per mole of atoms
Formation energy (no corrections): 1372 meV per atom
E_tot: -6.406 eV per atom

Cell: 6.0943 6.0943 6.0943 Å, 90.00 90.00 90.00°
Last column: nearest neighbours and their distance in Å.
Fractional positions:
Mo  0.1105  0.1105  0.1105  1 Mo 2.33, 3 Br 2.56
Mo  0.1105  0.3895  0.6105  1 Mo 2.33, 3 Br 2.56
Mo  0.3895  0.6105  0.1105  1 Mo 2.33, 3 Br 2.56
Mo  0.3895  0.8895  0.6105  1 Mo 2.33, 3 Br 2.56
Mo  0.6105  0.1105  0.3895  1 Mo 2.33, 3 Br 2.56
Mo  0.6105  0.3895  0.8895  1 Mo 2.33, 3 Br 2.56
Mo  0.8895  0.6105  0.3895  1 Mo 2.33, 3 Br 2.56
Mo  0.8895  0.8895  0.8895  1 Mo 2.33, 3 Br 2.56
Br  0.0000  0.0000  0.5000  6 Mo 2.56
Br  0.0000  0.5000  0.0000  6 Mo 2.56
Br  0.5000  0.0000  0.0000  6 Mo 2.56
Br  0.5000  0.5000  0.5000  6 Mo 2.56


Record 7
First-principles (PBE) data for crystalline La2HoSn2 at its relaxed geometry, as listed in Alexandria.

Output
Energy relative to the elements: -738 meV per atom
E_tot: -5.226 eV per atom

Cell: 8.1999 8.1999 4.7257 Å, 90.00 90.00 90.00°
Last column: nearest neighbours and their distance in Å.
Fractional positions:
La  0.1724  0.3276  0.0000  6 Sn 3.29-3.44
La  0.3276  0.8276  0.0000  6 Sn 3.29-3.44
La  0.6724  0.1724  0.0000  6 Sn 3.29-3.44
La  0.8276  0.6724  0.0000  6 Sn 3.29-3.44
Ho  0.0000  0.0000  0.5000  4 Sn 3.22
Ho  0.5000  0.5000  0.5000  4 Sn 3.22
Sn  0.1297  0.6297  0.5000  1 Sn 3.01, 2 Ho 3.22, 2 La 3.29
Sn  0.3703  0.1297  0.5000  1 Sn 3.01, 2 Ho 3.22, 2 La 3.29
Sn  0.6297  0.8703  0.5000  1 Sn 3.01, 2 Ho 3.22, 2 La 3.29
Sn  0.8703  0.3703  0.5000  1 Sn 3.01, 2 Ho 3.22, 2 La 3.29


Record 8
First-principles (PBE) data for crystalline BeZn2Rh at its relaxed geometry, as listed in Alexandria.

Output
Distance to the lowest polymorph of the same formula: 0.0 kJ per mole of atoms
Energy relative to the elements: -289 meV per atom
E_tot: -3.695 eV per atom

Cell: 9.1803 3.0675 3.8874 Å, 90.00 114.93 90.00°
Last column: nearest neighbours and their distance in Å.
Fractional positions:
Be  0.0000  0.0000  0.0000  4 Rh 2.48, 4 Zn 2.49
Be  0.5000  0.5000  0.0000  4 Rh 2.48, 4 Zn 2.49
Zn  0.2359  0.5000  0.2359  4 Zn 2.49, 2 Be 2.49, 4 Rh 2.68-2.77
Zn  0.2641  0.0000  0.7641  4 Zn 2.49, 2 Be 2.49, 4 Rh 2.68-2.77
Zn  0.7359  0.0000  0.2359  4 Zn 2.49, 2 Be 2.49, 4 Rh 2.68-2.77
Zn  0.7641  0.5000  0.7641  4 Zn 2.49, 2 Be 2.49, 4 Rh 2.68-2.77
Rh  0.0000  0.5000  0.5000  4 Be 2.48, 8 Zn 2.68-2.77
Rh  0.5000  0.0000  0.5000  4 Be 2.48, 8 Zn 2.68-2.77


Q: Which value of E_tot does entry 6 give?
A: -6.406 eV per atom


Q: Which formula does entry 7 have?
A: La2HoSn2


Q: Which of these has the highest E_tot?
A: TbTl2Ni